Entry 1:
# ReNi (GGA-PBEsol, relaxed)
data_ReNi
_space_group_name_H-M_alt 'P 63/m m c'
_space_group_IT_number 194
_space_group_name_Hall '-P 6c 2c'
_cell_length_a 3.7699
_cell_length_b 3.7699
_cell_length_c 4.4694
_cell_angle_alpha 90.00
_cell_angle_beta 90.00
_cell_angle_gamma 120.00
loop_
_atom_site_label
_atom_site_type_symbol
_atom_site_fract_x
_atom_site_fract_y
_atom_site_fract_z
Re1 Re 0.3333 0.6667 0.2500
Ni1 Ni 0.0000 0.0000 0.0000
# E_tot, eV per atom: -8.807


Entry 2:
# Ba2ScW (GGA-PBEsol, relaxed)
data_Ba2ScW
_space_group_name_H-M_alt 'R 3 m'
_space_group_IT_number 160
_space_group_name_Hall 'R 3 -2"'
_cell_length_a 3.4435
_cell_length_b 3.4435
_cell_length_c 34.7242
_cell_angle_alpha 90.00
_cell_angle_beta 90.00
_cell_angle_gamma 120.00
loop_
_atom_site_label
_atom_site_type_symbol
_atom_site_fract_x
_atom_site_fract_y
_atom_site_fract_z
Ba1 Ba 0.0000 0.0000 0.0000
Ba2 Ba 0.0000 0.0000 0.2231
Sc1 Sc 0.0000 0.0000 0.4630
W1 W 0.0000 0.0000 0.7403
# Energy above the most stable polymorph in this dataset, meV per atom: 0.0


Entry 3:
# HoAl3 (GGA-PBEsol, relaxed)
data_HoAl3
_space_group_name_H-M_alt 'P 63/m m c'
_space_group_IT_number 194
_space_group_name_Hall '-P 6c 2c'
_cell_length_a 6.1477
_cell_length_b 6.1477
_cell_length_c 4.6033
_cell_angle_alpha 90.00
_cell_angle_beta 90.00
_cell_angle_gamma 120.00
loop_
_atom_site_label
_atom_site_type_symbol
_atom_site_fract_x
_atom_site_fract_y
_atom_site_fract_z
Ho1 Ho 0.3333 0.6667 0.2500
Al1 Al 0.1497 0.2994 0.7500
# E_tot, eV per atom: -4.737


Entry 4:
# K2ScInCl6 (GGA-PBEsol, relaxed)
data_K2ScInCl6
_space_group_name_H-M_alt 'F m -3 m'
_space_group_IT_number 225
_space_group_name_Hall '-F 4 2 3'
_cell_length_a 10.7712
_cell_length_b 10.7712
_cell_length_c 10.7712
_cell_angle_alpha 90.00
_cell_angle_beta 90.00
_cell_angle_gamma 90.00
loop_
_atom_site_label
_atom_site_type_symbol
_atom_site_fract_x
_atom_site_fract_y
_atom_site_fract_z
K1 K 0.2500 0.2500 0.2500
Sc1 Sc 0.0000 0.0000 0.0000
In1 In 0.0000 0.0000 0.5000
Cl1 Cl 0.0000 0.0000 0.2288
# Raw formation energy, eV/atom: -1.7349


Entry 5:
# SrCaPb (GGA-PBEsol, relaxed)
data_SrCaPb
_space_group_name_H-M_alt 'P n m a'
_space_group_IT_number 62
_space_group_name_Hall '-P 2ac 2n'
_cell_length_a 8.3392
_cell_length_b 5.1691
_cell_length_c 9.5847
_cell_angle_alpha 90.00
_cell_angle_beta 90.00
_cell_angle_gamma 90.00
loop_
_atom_site_label
_atom_site_type_symbol
_atom_site_fract_x
_atom_site_fract_y
_atom_site_fract_z
Sr1 Sr 0.0204 0.2500 0.1845
Ca1 Ca 0.1518 0.2500 0.5710
Pb1 Pb 0.2373 0.7500 0.3918
# E_tot, eV per atom: -3.281


Entry 6:
# CuIr3O (GGA-PBEsol, relaxed)
data_CuIr3O
_space_group_name_H-M_alt 'P m -3 m'
_space_group_IT_number 221
_space_group_name_Hall '-P 4 2 3'
_cell_length_a 4.4396
_cell_length_b 4.4396
_cell_length_c 4.4396
_cell_angle_alpha 90.00
_cell_angle_beta 90.00
_cell_angle_gamma 90.00
loop_
_atom_site_label
_atom_site_type_symbol
_atom_site_fract_x
_atom_site_fract_y
_atom_site_fract_z
Cu1 Cu 0.0000 0.0000 0.0000
Ir1 Ir 0.0000 0.0000 0.5000
O1 O 0.5000 0.5000 0.5000
# Raw formation energy, eV/atom: 2.5559


Entry 7:
# ZrFe2Pt (GGA-PBEsol, relaxed)
data_ZrFe2Pt
_space_group_name_H-M_alt 'C 1 2/m 1'
_space_group_IT_number 12
_space_group_name_Hall '-C 2y'
_cell_length_a 5.3604
_cell_length_b 8.5498
_cell_length_c 2.7320
_cell_angle_alpha 90.00
_cell_angle_beta 111.89
_cell_angle_gamma 90.00
loop_
_atom_site_label
_atom_site_type_symbol
_atom_site_fract_x
_atom_site_fract_y
_atom_site_fract_z
Zr1 Zr 0.0000 0.0000 0.0000
Fe1 Fe 0.2500 0.2500 0.5000
Pt1 Pt 0.0000 0.5000 0.0000
# E_tot, eV per atom: -8.585


Entry 8:
# ZnNi2As (GGA-PBEsol, relaxed)
data_ZnNi2As
_space_group_name_H-M_alt 'R 3 m'
_space_group_IT_number 160
_space_group_name_Hall 'R 3 -2"'
_cell_length_a 2.7603
_cell_length_b 2.7603
_cell_length_c 23.7279
_cell_angle_alpha 90.00
_cell_angle_beta 90.00
_cell_angle_gamma 120.00
loop_
_atom_site_label
_atom_site_type_symbol
_atom_site_fract_x
_atom_site_fract_y
_atom_site_fract_z
Zn1 Zn 0.0000 0.0000 0.0000
Ni1 Ni 0.0000 0.0000 0.2556
Ni2 Ni 0.0000 0.0000 0.5093
As1 As 0.0000 0.0000 0.7690
# Energy above the most stable polymorph in this dataset, meV per atom: 39.7